Er8OsPb2 | PBE | relaxed

a b c (Å): 5.020 6.622 9.993
angles (deg): 106.29 104.55 90.00
Fractional positions:
Er1 0.413 0.550 0.826
Er2 0.643 0.002 0.286
Er3 0.782 0.676 0.564
Er4 0.980 0.209 0.959
Er5 0.218 0.324 0.436
Er6 0.357 0.998 0.714
Er7 0.587 0.450 0.174
Er8 0.020 0.791 0.041
Os1 0.500 0.000 0.000
Pb1 0.819 0.242 0.639
Pb2 0.181 0.758 0.361

Calculated values
Its crystal system is monoclinic. The magnetization is 0.00 μB per cell. The volume comes out at 28.0 Å³/atom. The formation energy comes out at -0.261 eV/atom.